No. 1
# InPt (PBE, relaxed)
# Formation energy   -0.018 eV per atom
data_InPt
_symmetry_space_group_name_H-M 'P -3 m 1'
_symmetry_Int_Tables_number 164
_symmetry_space_group_name_Hall '-P 3 2"'
_cell_length_a 3.2980
_cell_length_b 3.2980
_cell_length_c 8.5305
_cell_angle_alpha 90.00
_cell_angle_beta 90.00
_cell_angle_gamma 120.00
loop_
_atom_site_label
_atom_site_fract_x
_atom_site_fract_y
_atom_site_fract_z
_atom_site_occupancy
In1 0.3333 0.6667 0.3482 1
Pt1 0.3333 0.6667 0.8812 1

***

No. 2
# PrWN3 (PBE, relaxed)
# Formation energy without anion corrections   -4.64 eV/f.u.
data_PrWN3
_symmetry_space_group_name_H-M 'C 1 2/c 1'
_symmetry_Int_Tables_number 15
_symmetry_space_group_name_Hall '-C 2yc'
_cell_length_a 11.0899
_cell_length_b 9.9892
_cell_length_c 6.4041
_cell_angle_alpha 90.00
_cell_angle_beta 109.74
_cell_angle_gamma 90.00
loop_
_atom_site_label
_atom_site_fract_x
_atom_site_fract_y
_atom_site_fract_z
_atom_site_occupancy
Pr1 0.0000 0.0925 0.2500 1
Pr2 0.0000 0.3055 0.7500 1
W1 0.2095 0.4114 0.2419 1
N1 0.1138 0.1115 0.6555 1
N2 0.1334 0.2523 0.1498 1
N3 0.1494 0.4891 0.4706 1

***

No. 3
# Sc2AlH (PBE, relaxed)
# Energy above the most stable polymorph in this dataset   0.000 eV per atom
data_Sc2AlH
_symmetry_space_group_name_H-M 'I -4 2 d'
_symmetry_Int_Tables_number 122
_symmetry_space_group_name_Hall 'I -4 2bw'
_cell_length_a 6.2744
_cell_length_b 6.2744
_cell_length_c 6.8512
_cell_angle_alpha 90.00
_cell_angle_beta 90.00
_cell_angle_gamma 90.00
loop_
_atom_site_label
_atom_site_fract_x
_atom_site_fract_y
_atom_site_fract_z
_atom_site_occupancy
Sc1 0.1439 0.2500 0.1250 1
Al1 0.0000 0.0000 0.5000 1
H1 0.0000 0.0000 0.0000 1

***

No. 4
# SiNi2Ir (PBE, relaxed)
# Formation energy without anion corrections   -0.86 eV/f.u.
data_SiNi2Ir
_symmetry_space_group_name_H-M 'P 4/m m m'
_symmetry_Int_Tables_number 123
_symmetry_space_group_name_Hall '-P 4 2'
_cell_length_a 2.7739
_cell_length_b 2.7739
_cell_length_c 6.1726
_cell_angle_alpha 90.00
_cell_angle_beta 90.00
_cell_angle_gamma 90.00
loop_
_atom_site_label
_atom_site_fract_x
_atom_site_fract_y
_atom_site_fract_z
_atom_site_occupancy
Si1 0.0000 0.0000 0.0000 1
Ni1 0.5000 0.5000 0.2127 1
Ir1 0.0000 0.0000 0.5000 1

***

No. 5
First-principles (PBE) data for a geometry-optimized RbLiMgH4 structure, as listed in the Alexandria database.

Cell and atoms, written as CIF:
```
data_RbLiMgH4
_symmetry_space_group_name_H-M 'P 1 21/m 1'
_symmetry_Int_Tables_number 11
_symmetry_space_group_name_Hall '-P 2yb'
_cell_length_a 5.1217
_cell_length_b 5.6768
_cell_length_c 7.5266
_cell_angle_alpha 90.00
_cell_angle_beta 102.48
_cell_angle_gamma 90.00
loop_
_atom_site_label
_atom_site_fract_x
_atom_site_fract_y
_atom_site_fract_z
_atom_site_occupancy
Rb1 0.2119 0.2500 0.1060 1
Li1 0.1485 0.7500 0.5228 1
Mg1 0.3772 0.2500 0.6713 1
H1 0.1218 0.0133 0.6773 1
H2 0.3641 0.7500 0.1179 1
H3 0.4931 0.2500 0.4597 1
```

***

No. 6
First-principles (PBE) data for a geometry-optimized GeH structure, as listed in the Alexandria database.

Cell and atoms, written as CIF:
```
data_GeH
_symmetry_space_group_name_H-M 'F -4 3 m'
_symmetry_Int_Tables_number 216
_symmetry_space_group_name_Hall 'F -4 2 3'
_cell_length_a 4.6715
_cell_length_b 4.6715
_cell_length_c 4.6715
_cell_angle_alpha 90.00
_cell_angle_beta 90.00
_cell_angle_gamma 90.00
loop_
_atom_site_label
_atom_site_fract_x
_atom_site_fract_y
_atom_site_fract_z
_atom_site_occupancy
Ge1 0.0000 0.0000 0.0000 1
H1 0.2500 0.2500 0.2500 1
```

***

| no. | uncorrected energy (eV for the cell shown) |
| --- | --- |
| 1 | -17.629 |
| 2 | -378.812 |
| 3 | -83.984 |
| 4 | -26.709 |
| 5 | -38.781 |
| 6 | -26.642 |